## Ho5ThAl3 (PBE-GGA)

Data for crystalline Ho5ThAl3 at its relaxed geometry.

Lattice parameters (Å, degrees): 6.5841 9.1039 9.1041 120.00 90.00 90.00
With the nearest neighbours (Å) after each atom.
Fractional coordinates of all 18 atoms:
Al (0.2500, 0.6636, 0.6636)  5 Ho 3.01-3.29
Ho (0.0000, 0.6668, 0.3335)  8 Ho 3.29-3.45, 6 Al 3.44
Al (0.2500, 0.3364, 0.0000)  5 Ho 3.01-3.29
Al (0.7500, 0.6636, 0.0000)  5 Ho 3.01-3.29
Ho (0.5000, 0.3332, 0.6665)  8 Ho 3.29-3.45, 6 Al 3.44
Ho (0.2500, 0.0001, 0.6667)  5 Al 3.01-3.29
Th (0.5000, 0.0000, 0.0000)  2 Th 3.29, 6 Ho 3.45, 6 Al 3.48
Al (0.7500, 0.3364, 0.3364)  5 Ho 3.01-3.29
Al (0.7500, 0.0000, 0.6636)  5 Ho 3.01-3.29
Ho (0.0000, 0.3332, 0.6665)  8 Ho 3.29-3.45, 6 Al 3.44
Ho (0.7500, 0.3334, 0.0000)  5 Al 3.01-3.29
Th (0.0000, 0.0000, 0.0000)  2 Th 3.29, 6 Ho 3.45, 6 Al 3.48
Ho (0.7500, 0.6666, 0.6667)  5 Al 3.01-3.29
Ho (0.2500, 0.6666, 0.0000)  5 Al 3.01-3.29
Ho (0.7500, 0.9999, 0.3333)  5 Al 3.01-3.29
Ho (0.2500, 0.3334, 0.3333)  5 Al 3.01-3.29
Ho (0.5000, 0.6668, 0.3335)  8 Ho 3.29-3.45, 6 Al 3.44
Al (0.2500, 0.0000, 0.3364)  5 Ho 3.01-3.29

Symmetry: No. 193
Calculated formation energy, eV/atom: -0.252
V, Å³/f.u.: 236